No. 1
Computed, not measured: crystalline TbMn6Sn6 at its relaxed geometry at the GGA-PBEsol level of DFT.

The calculated total energy is -6.9900 eV/atom. Its crystal system is hexagonal. The calculation puts the volume at 220.31 Å³ per cell. Its size of the total moment is 12.56 μB per cell. Its formation energy is -0.134 eV per atom.

a b c (Å): 5.3684 5.3684 8.8269
angles (deg): 90.00 90.00 120.00
With the nearest neighbours (Å) after each atom.
Space group P6/mmm (No. 191)
Inequivalent atoms, fractional coordinates:
1 Tb 0.0000 0.0000 0.0000 [1 per cell]  8 Sn 2.95-3.10
2 Mn 0.0000 0.5000 0.2484 [6 per cell]  4 Mn 2.68, 6 Sn 2.68-2.79
3 Sn 0.0000 0.0000 0.3339 [2 per cell]  6 Mn 2.79, 1 Sn 2.93, 1 Tb 2.95
4 Sn 0.3333 0.6667 0.0000 [2 per cell]  6 Mn 2.68
5 Sn 0.3333 0.6667 0.5000 [2 per cell]  6 Mn 2.71

---

No. 2
Computed, not measured: crystalline Ti3MnSn at its relaxed geometry at the GGA-PBEsol level of DFT.

The calculated total energy is -6.4815 eV/atom. Its crystal system is cubic. The calculation puts the volume at 120.66 Å³ per cell. Its size of the total moment is 3.57 μB per cell. Its formation energy is 1.316 eV per atom.

a b c (Å): 4.9414 4.9414 4.9414
angles (deg): 90.00 90.00 90.00
With the nearest neighbours (Å) after each atom.
Space group Pm-3m (No. 221)
Inequivalent atoms, fractional coordinates:
1 Ti 0.0000 0.0000 0.5000 [3 per cell]  2 Sn 2.47
2 Mn 0.5000 0.5000 0.5000 [1 per cell]  12 Ti 3.49
3 Sn 0.0000 0.0000 0.0000 [1 per cell]  6 Ti 2.47

---

No. 3
Computed, not measured: crystalline TiMnSn4 at its relaxed geometry at the GGA-PBEsol level of DFT.

The calculated total energy is -6.0016 eV/atom. Its crystal system is hexagonal. The calculation puts the volume at 364.66 Å³ per cell. Its size of the total moment is 6.74 μB per cell. Its formation energy is -0.148 eV per atom.

a b c (Å): 5.5059 5.5059 13.8897
angles (deg): 90.00 90.00 120.00
With the nearest neighbours (Å) after each atom.
Space group P6_222 (No. 180)
Inequivalent atoms, fractional coordinates:
1 Ti 0.0000 0.5000 0.1667 [3 per cell]  2 Mn 2.75, 8 Sn 2.81-2.85
2 Mn 0.0000 0.0000 0.1667 [3 per cell]  2 Ti 2.75, 8 Sn 2.80-2.85
3 Sn 0.0000 0.5000 0.5520 [6 per cell]  2 Mn 2.85, 2 Ti 2.85, 3 Sn 3.11-3.19
4 Sn 0.1660 0.3320 0.0000 [6 per cell]  2 Mn 2.80, 2 Ti 2.81

---

No. 4
Computed, not measured: crystalline TiMnZn2Sn at its relaxed geometry at the GGA-PBEsol level of DFT.

The calculated total energy is -4.6697 eV/atom. Its crystal system is tetragonal. The calculation puts the volume at 91.70 Å³ per cell. Its size of the total moment is 1.12 μB per cell. Its formation energy is 0.432 eV per atom.

a b c (Å): 4.6601 4.6601 4.2226
angles (deg): 90.00 90.00 90.00
With the nearest neighbours (Å) after each atom.
Space group P4/mmm (No. 123)
Inequivalent atoms, fractional coordinates:
1 Ti 0.0000 0.0000 0.0000 [1 per cell]  2 Mn 2.11
2 Mn 0.0000 0.0000 0.5000 [1 per cell]  2 Ti 2.11, 4 Zn 2.33
3 Zn 0.0000 0.5000 0.5000 [2 per cell]  2 Mn 2.33
4 Sn 0.5000 0.5000 0.0000 [1 per cell]  8 Zn 3.14, 4 Ti 3.30

---

No. 5
Computed, not measured: crystalline TmMn6Sn6 at its relaxed geometry at the GGA-PBEsol level of DFT.

The calculated total energy is -6.9780 eV/atom. Its crystal system is hexagonal. The calculation puts the volume at 218.65 Å³ per cell. Its size of the total moment is 12.52 μB per cell. Its formation energy is -0.130 eV per atom.

a b c (Å): 5.3540 5.3540 8.8078
angles (deg): 90.00 90.00 120.00
With the nearest neighbours (Å) after each atom.
Space group P6/mmm (No. 191)
Inequivalent atoms, fractional coordinates:
1 Tm 0.0000 0.0000 0.0000 [1 per cell]  8 Sn 2.93-3.09
2 Mn 0.0000 0.5000 0.2479 [6 per cell]  6 Sn 2.68-2.78, 4 Mn 2.68
3 Sn 0.0000 0.0000 0.3325 [2 per cell]  6 Mn 2.78, 1 Tm 2.93, 1 Sn 2.95
4 Sn 0.3333 0.6667 0.0000 [2 per cell]  6 Mn 2.68
5 Sn 0.3333 0.6667 0.5000 [2 per cell]  6 Mn 2.71

---

No. 6
Computed, not measured: crystalline YMn6Sn6 at its relaxed geometry at the GGA-PBEsol level of DFT.

The calculated total energy is -7.1328 eV/atom. Its crystal system is hexagonal. The calculation puts the volume at 220.13 Å³ per cell. Its size of the total moment is 12.55 μB per cell. Its formation energy is -0.137 eV per atom.

a b c (Å): 5.3674 5.3674 8.8232
angles (deg): 90.00 90.00 120.00
With the nearest neighbours (Å) after each atom.
Space group P6/mmm (No. 191)
Inequivalent atoms, fractional coordinates:
1 Y 0.0000 0.0000 0.0000 [1 per cell]  8 Sn 2.94-3.10
2 Mn 0.0000 0.5000 0.2483 [6 per cell]  6 Sn 2.68-2.79, 4 Mn 2.68
3 Sn 0.0000 0.0000 0.3337 [2 per cell]  6 Mn 2.79, 1 Sn 2.93, 1 Y 2.94
4 Sn 0.3333 0.6667 0.0000 [2 per cell]  6 Mn 2.68
5 Sn 0.3333 0.6667 0.5000 [2 per cell]  6 Mn 2.71

---

Question: The lowest calculated total energy belongs to which entry?
Answer: YMn6Sn6